VASP calculation (PBE) on crystalline Th3NiGe3 at its relaxed geometry.

## Properties
**Energy**: -6.7160 eV per atom
**ρ**: 10.023 g/cm3
**Formation energy**: -731 meV/atom

Unit cell a=10.9538 b=4.2747 c=14.7241 alpha=90.00 beta=110.77 gamma=90.00
Space group C2/m (No. 12)
Symmetry-distinct sites (fractional):
Th (0.0265, 0.0000, 0.3875) [4 per cell]
Th (0.1012, 0.0000, 0.9188) [4 per cell]
Th (0.2401, 0.0000, 0.2334) [4 per cell]
Ni (0.2363, 0.5000, 0.3923) [4 per cell]
Ge (0.0273, 0.5000, 0.2425) [4 per cell]
Ge (0.1205, 0.5000, 0.0753) [4 per cell]
Ge (0.1576, 0.5000, 0.5438) [4 per cell]

---

VASP calculation (PBE) on crystalline TaBi2PtW at its relaxed geometry.

## Properties
**Energy**: -6.0495 eV per atom
**ρ**: 11.279 g/cm3
**Formation energy**: 1672 meV/atom

Unit cell a=5.4016 b=5.4016 c=4.9338 alpha=90.00 beta=90.00 gamma=90.00
Space group P4/mmm (No. 123)
Symmetry-distinct sites (fractional):
Ta (0.0000, 0.0000, 0.0000) [1 per cell]
Bi (0.0000, 0.5000, 0.0000) [2 per cell]
Pt (0.0000, 0.0000, 0.5000) [1 per cell]
W (0.5000, 0.5000, 0.5000) [1 per cell]

---

VASP calculation (PBE) on crystalline CsCdMo3 at its relaxed geometry.

## Properties
**Energy**: -3.8385 eV per atom
**ρ**: 7.426 g/cm3
**Formation energy**: 3014 meV/atom

Unit cell a=4.9216 b=4.9216 c=4.9216 alpha=90.00 beta=90.00 gamma=90.00
Space group Pm-3m (No. 221)
Symmetry-distinct sites (fractional):
Cs (0.0000, 0.0000, 0.0000) [1 per cell]
Cd (0.5000, 0.5000, 0.5000) [1 per cell]
Mo (0.0000, 0.0000, 0.5000) [3 per cell]

---

VASP calculation (PBE) on crystalline Zn3GaPt12 at its relaxed geometry.

## Properties
**Energy**: -5.3216 eV per atom
**ρ**: 17.774 g/cm3
**Formation energy**: -363 meV/atom

Unit cell a=3.9379 b=3.9379 c=15.7060 alpha=90.00 beta=90.00 gamma=90.00
Space group P4/mmm (No. 123)
Symmetry-distinct sites (fractional):
Zn (0.0000, 0.0000, 0.0000) [1 per cell]
Zn (0.0000, 0.0000, 0.2493) [2 per cell]
Ga (0.0000, 0.0000, 0.5000) [1 per cell]
Pt (0.0000, 0.5000, 0.1248) [4 per cell]
Pt (0.0000, 0.5000, 0.3748) [4 per cell]
Pt (0.5000, 0.5000, 0.0000) [1 per cell]
Pt (0.5000, 0.5000, 0.2499) [2 per cell]
Pt (0.5000, 0.5000, 0.5000) [1 per cell]

---

VASP calculation (PBE) on crystalline Tb3NdHo at its relaxed geometry.

## Properties
**ΔE to the lowest computed polymorph**: 26.4 kJ per mole of atoms
**Energy**: -4.3556 eV per atom
**ρ**: 7.380 g/cm3
**Formation energy**: 292 meV/atom

Unit cell a=3.6113 b=11.6275 c=8.6136 alpha=90.00 beta=102.06 gamma=90.00
Space group P2_1/m (No. 11)
Symmetry-distinct sites (fractional):
Tb (0.1570, 0.0007, 0.3130) [4 per cell]
Tb (0.3233, 0.2500, 0.6356) [2 per cell]
Nd (0.0092, 0.2500, 0.9820) [2 per cell]
Ho (0.3357, 0.7500, 0.6821) [2 per cell]

---

VASP calculation (PBE) on crystalline ZrIn2H at its relaxed geometry.

## Properties
**ΔE to the lowest computed polymorph**: 48.0 kJ per mole of atoms
**Energy**: -4.1254 eV per atom
**ρ**: 7.104 g/cm3

Unit cell a=7.2029 b=7.2029 c=5.8008 alpha=90.00 beta=90.00 gamma=90.00
Space group I-42d (No. 122)
Symmetry-distinct sites (fractional):
Zr (0.0000, 0.0000, 0.0000) [4 per cell]
In (0.1695, 0.2500, 0.6250) [8 per cell]
H (0.0000, 0.0000, 0.5000) [4 per cell]

---

VASP calculation (PBE) on crystalline LaTbHoN3 at its relaxed geometry.

## Properties
**Energy**: -7.9491 eV per atom
**ρ**: 8.591 g/cm3

Unit cell a=6.0976 b=3.5697 c=9.1615 alpha=90.00 beta=101.88 gamma=90.00
Space group P2_1/m (No. 11)
Symmetry-distinct sites (fractional):
La (0.1518, 0.2500, 0.1993) [2 per cell]
Tb (0.2700, 0.7500, 0.5441) [2 per cell]
Ho (0.3553, 0.2500, 0.8590) [2 per cell]
N (0.0405, 0.2500, 0.6685) [2 per cell]
N (0.2588, 0.7500, 0.9856) [2 per cell]
N (0.4696, 0.7500, 0.3478) [2 per cell]

---

VASP calculation (PBE) on crystalline BeTc2Hg at its relaxed geometry.

## Properties
**ΔE to the lowest computed polymorph**: 23.0 kJ per mole of atoms
**Energy**: -5.8155 eV per atom
**ρ**: 11.623 g/cm3
**Formation energy**: 375 meV/atom

Unit cell a=2.9183 b=4.3612 c=9.1056 alpha=90.00 beta=90.00 gamma=90.00
Space group Immm (No. 71)
Symmetry-distinct sites (fractional):
Be (0.0000, 0.0000, 0.0000) [2 per cell]
Tc (0.0000, 0.5000, 0.2923) [4 per cell]
Hg (0.0000, 0.0000, 0.5000) [2 per cell]

---

VASP calculation (PBE) on crystalline Ce3IrAu at its relaxed geometry.

## Properties
**ΔE to the lowest computed polymorph**: 0.0 kJ per mole of atoms
**Energy**: -6.5618 eV per atom
**ρ**: 10.934 g/cm3
**Formation energy**: -574 meV/atom

Unit cell a=10.5873 b=4.6007 c=10.4286 alpha=90.00 beta=104.50 gamma=90.00
Space group C2/m (No. 12)
Symmetry-distinct sites (fractional):
Ce (0.0553, 0.0000, 0.3801) [4 per cell]
Ce (0.1229, 0.5000, 0.6628) [4 per cell]
Ce (0.1411, 0.5000, 0.1158) [4 per cell]
Ir (0.2226, 0.5000, 0.3898) [4 per cell]
Au (0.0784, 0.0000, 0.9047) [4 per cell]

---

VASP calculation (PBE) on crystalline AgHgI2 at its relaxed geometry.

## Properties
**ΔE to the lowest computed polymorph**: 2.0 kJ per mole of atoms
**Energy**: -1.7790 eV per atom
**ρ**: 5.992 g/cm3

Unit cell a=4.6212 b=7.5991 c=9.3977 alpha=102.37 beta=104.20 gamma=91.03
Space group P1 (No. 1)
Symmetry-distinct sites (fractional):
Ag (0.0000, 0.0000, 0.0000) [1 per cell]
Ag (0.2900, 0.7138, 0.5266) [1 per cell]
Hg (0.3379, 0.2483, 0.5456) [1 per cell]
Hg (0.3522, 0.3756, 0.8348) [1 per cell]
I (0.0052, 0.3837, 0.0478) [1 per cell]
I (0.2118, 0.9396, 0.3088) [1 per cell]
I (0.4212, 0.8229, 0.8488) [1 per cell]
I (0.7334, 0.4889, 0.4297) [1 per cell]

---

VASP calculation (PBE) on crystalline LiFeIr2 at its relaxed geometry.

## Properties
**Energy**: -7.0373 eV per atom
**ρ**: 14.238 g/cm3
**Formation energy**: -13 meV/atom

Unit cell a=5.4382 b=7.2391 c=2.6499 alpha=90.00 beta=90.00 gamma=90.00
Space group Cmmm (No. 65)
Symmetry-distinct sites (fractional):
Li (0.0000, 0.0000, 0.0000) [2 per cell]
Fe (0.0000, 0.5000, 0.0000) [2 per cell]
Ir (0.2500, 0.2500, 0.5000) [4 per cell]

---

VASP calculation (PBE) on crystalline Ti3NbSb at its relaxed geometry.

## Properties
**ΔE to the lowest computed polymorph**: 0.0 kJ per mole of atoms
**Energy**: -7.8342 eV per atom
**ρ**: 6.575 g/cm3

Unit cell a=4.9284 b=5.7176 c=6.9585 alpha=79.30 beta=70.37 gamma=82.38
Space group P-1 (No. 2)
Symmetry-distinct sites (fractional):
Ti (0.0563, 0.3941, 0.3112) [2 per cell]
Ti (0.1165, 0.9032, 0.2989) [2 per cell]
Ti (0.3578, 0.7079, 0.8873) [2 per cell]
Nb (0.5000, 0.0000, 0.5000) [1 per cell]
Nb (0.5000, 0.5000, 0.5000) [1 per cell]
Sb (0.2589, 0.2230, 0.8988) [2 per cell]